LiScCo2 | PBE | relaxed

Total energy ... -5.5538 eV per atom
DFT formation energy ... 1.4 kcal/mol of atoms

Cell and atoms, written as extended XYZ:
```
4
Lattice="3.7354 0.0000 0.0000 0.0000 3.7617 0.0000 0.0000 0.0000 3.8045" Properties=species:S:1:pos:R:3 pbc="T T T"
Li 0.0000 0.0000 0.0000
Sc 1.8677 0.0000 1.9023
Co 0.0000 1.8808 1.9023
Co 1.8677 1.8808 0.0000
```

***

LiScCo2 | PBE | relaxed

Total energy ... -5.4990 eV per atom
DFT formation energy ... 2.7 kcal/mol of atoms

Cell and atoms, written as extended XYZ:
```
4
Lattice="2.8746 0.0000 0.0000 0.0000 3.9664 0.0000 -1.2954 0.0000 4.9988" Properties=species:S:1:pos:R:3 pbc="T T T"
Li 0.0000 0.0000 0.0000
Sc 1.6854 1.9832 1.6219
Co -0.2111 1.9832 3.9358
Co 0.3610 0.0000 2.8825
```

***

LiSc2Co | PBE | relaxed

Total energy ... -5.4385 eV per atom
DFT formation energy ... -0.4 kcal/mol of atoms

Cell and atoms, written as extended XYZ:
```
4
Lattice="-1.5522 2.2806 5.0941 1.5522 -2.2806 5.0941 1.5522 2.2806 -5.0941" Properties=species:S:1:pos:R:3 pbc="T T T"
Li 0.0000 0.0000 0.0000
Sc 0.0000 0.0000 4.0707
Sc 0.0000 2.2806 2.0067
Co 1.5522 0.0000 2.0699
```

***

LiScCo2 | PBE | relaxed

Total energy ... -5.4496 eV per atom
DFT formation energy ... 3.8 kcal/mol of atoms

Cell and atoms, written as extended XYZ:
```
4
Lattice="2.5956 -3.9615 0.0000 2.5956 3.9615 0.0000 -0.8221 0.0000 2.6499" Properties=species:S:1:pos:R:3 pbc="T T T"
Li 0.0000 0.0000 0.0000
Sc 2.5956 0.0000 0.0000
Co 0.8868 1.9807 1.3250
Co 0.8868 -1.9807 1.3250
```

***

Number 1: magnetic moment 1.629 μB per formula unit, N(E_F) 5.0 states/eV per cell. Number 2: magnetic moment 2.016 μB per formula unit, N(E_F) 4.0 states/eV per cell. Number 3: magnetic moment 0.000 μB per formula unit, N(E_F) 3.4 states/eV per cell. Number 4: magnetic moment 1.812 μB per formula unit, N(E_F) 3.2 states/eV per cell.